Entry from Alexandria: AgOsCl2 after structural relaxation (GGA-PBE).

POSCAR file:
```
AgOsCl2
1.0
1.4542 -2.7457 0.0000
1.4542 2.7457 0.0000
0.0000 0.0000 10.7907
Ag Os Cl
1 1 2
Cartesian
0.0000 0.0000 0.0000 Ag
0.0000 0.0000 5.3953 Os
1.4542 0.0000 3.5183 Cl
1.4542 0.0000 7.2724 Cl
```

Computed properties:
* theoretical density: 7.1 g cm⁻³
* calculated total energy: -16.1 eV/f.u.
* size of the total moment: 0.0 μB/f.u.
* E above lowest polymorph: 3.93 kcal/mol of atoms
* DOS(E_F): 0.49 states/eV per atom
* symmetry: Cmmm
* formation energy without anion corrections: 0.42 eV/atom